No. 1
# MnCuAu4

A relaxed structure of MnCuAu4 (GGA-PBE, Alexandria via LeMat-Bulk).

Lattice parameters (Å, degrees): 3.731 5.052 6.030 107.18 90.00 111.67
Each line ends with the local moment (μB).
Fractional positions:
Cu1 0.500 0.500 0.000  0.03
Au1 0.838 0.177 0.672  0.03
Au2 0.162 0.823 0.328  0.03
Au3 0.844 0.188 0.167  0.02
Au4 0.156 0.812 0.833  0.02
Mn1 0.500 0.500 0.500  3.96

## Properties
E_tot = -26.64 eV per cell
Energy relative to the elements = -0.044 eV/atom

---

No. 2
# MnCu2Au

A relaxed structure of MnCu2Au (GGA-PBE, Alexandria via LeMat-Bulk).

Lattice parameters (Å, degrees): 3.158 3.089 6.627 62.22 90.00 90.00
Each line ends with the local moment (μB).
Fractional positions:
Cu1 0.000 0.975 0.025  0.03
Cu2 0.500 0.261 0.239  0.10
Au1 0.500 0.744 0.757  0.05
Mn1 0.000 0.521 0.479  3.79

## Properties
E_tot = -20.51 eV per cell
Energy relative to the elements = 0.033 eV/atom

---

No. 3
# Mn2Cu3Au4

A relaxed structure of Mn2Cu3Au4 (GGA-PBE, Alexandria via LeMat-Bulk).

Lattice parameters (Å, degrees): 3.990 4.794 8.325 74.53 90.11 65.24
Each line ends with the local moment (μB).
Fractional positions:
Cu1 0.663 0.676 0.552  0.04
Cu2 0.000 0.000 0.000  0.04
Cu3 0.337 0.324 0.448  0.04
Au1 0.982 0.036 0.663  0.04
Au2 0.018 0.964 0.337  0.04
Au3 0.340 0.321 0.112  0.06
Au4 0.660 0.679 0.888  0.06
Mn1 0.322 0.357 0.770  3.87
Mn2 0.678 0.643 0.230  3.87

## Properties
E_tot = -44.14 eV per cell
Energy relative to the elements = -0.045 eV/atom

---

No. 4
# MnCu8Au4

A relaxed structure of MnCu8Au4 (GGA-PBE, Alexandria via LeMat-Bulk).

Lattice parameters (Å, degrees): 4.319 2.757 15.929 90.00 90.00 90.00
Each line ends with the local moment (μB).
Fractional positions:
Cu1 0.500 0.000 0.574  0.00
Cu2 0.500 0.000 0.241  0.06
Cu3 0.000 0.000 0.774  0.00
Cu4 0.500 0.500 0.104  -0.01
Cu5 0.000 0.000 0.486  0.05
Cu6 0.000 0.500 0.908  0.00
Cu7 0.000 0.500 0.195  0.06
Cu8 0.500 0.500 0.727  0.00
Au1 0.500 0.000 0.877  0.00
Au2 0.500 0.500 0.410  0.06
Au3 0.000 0.500 0.630  0.00
Au4 0.000 0.000 0.049  -0.01
Mn1 0.000 0.000 0.330  3.70

## Properties
E_tot = -54.22 eV per cell
Energy relative to the elements = 0.063 eV/atom

---

No. 5
# Mn2CuAu

A relaxed structure of Mn2CuAu (GGA-PBE, Alexandria via LeMat-Bulk).

Lattice parameters (Å, degrees): 3.072 3.180 6.733 61.82 90.00 90.00
Each line ends with the local moment (μB).
Fractional positions:
Au1 0.000 0.496 0.504  0.04
Mn1 0.000 0.014 0.986  3.26
Mn2 0.500 0.259 0.240  3.37
Cu1 0.500 0.730 0.770  0.08

## Properties
E_tot = -25.13 eV per cell
Energy relative to the elements = 0.146 eV/atom

---

No. 6
# MnCu3Au12

A relaxed structure of MnCu3Au12 (GGA-PBE, Alexandria via LeMat-Bulk).

Lattice parameters (Å, degrees): 4.095 4.095 16.150 90.00 90.00 90.00
Each line ends with the local moment (μB).
Fractional positions:
Au1 0.500 0.000 0.127  0.04
Au2 0.500 0.500 0.000  0.05
Au3 0.500 0.500 0.500  0.00
Au4 0.500 0.500 0.748  0.01
Au5 0.000 0.500 0.127  0.04
Au6 0.000 0.500 0.624  0.00
Au7 0.500 0.000 0.376  0.00
Au8 0.500 0.000 0.873  0.04
Au9 0.000 0.500 0.873  0.04
Au10 0.500 0.500 0.252  0.01
Au11 0.500 0.000 0.624  0.00
Au12 0.000 0.500 0.376  0.00
Mn1 0.000 0.000 0.000  4.12
Cu1 0.000 0.000 0.253  0.00
Cu2 0.000 0.000 0.500  0.00
Cu3 0.000 0.000 0.747  0.00

## Properties
E_tot = -61.10 eV per cell
Energy relative to the elements = -0.019 eV/atom

---

No. 7
# Mn2CuAu9

A relaxed structure of Mn2CuAu9 (GGA-PBE, Alexandria via LeMat-Bulk).

Lattice parameters (Å, degrees): 4.110 4.110 12.302 90.00 90.00 90.00
Each line ends with the local moment (μB).
Fractional positions:
Au1 0.000 0.500 0.164  0.04
Au2 0.000 0.500 0.836  0.04
Au3 0.500 0.000 0.500  0.06
Au4 0.500 0.000 0.164  0.04
Au5 0.500 0.000 0.836  0.04
Au6 0.500 0.500 0.668  0.06
Au7 0.000 0.500 0.500  0.06
Au8 0.500 0.500 0.332  0.06
Au9 0.500 0.500 0.000  0.01
Cu1 0.000 0.000 0.000  0.00
Mn1 0.000 0.000 0.670  4.14
Mn2 0.000 0.000 0.330  4.14

## Properties
E_tot = -52.17 eV per cell
Energy relative to the elements = -0.020 eV/atom

---

No. 8
# MnCuAu

A relaxed structure of MnCuAu (GGA-PBE, Alexandria via LeMat-Bulk).

Lattice parameters (Å, degrees): 4.199 4.199 4.199 60.00 60.00 60.00
Each line ends with the local moment (μB).
Fractional positions:
Mn1 0.000 0.000 0.000  4.00
Au1 0.500 0.500 0.500  0.03
Cu1 0.750 0.750 0.750  0.10

## Properties
E_tot = -15.76 eV per cell
Energy relative to the elements = 0.261 eV/atom

---

What is the energy relative to the elements in the fifth record?
0.146 eV/atom

---

What is the energy relative to the elements in the fifth record?
0.146 eV/atom